{
  "formula": "AcNd2Cd",
  "functional": "PBE",
  "state": "optimized geometry",
  "cell": [[5.0790, 0.0000, 0.0000], [0.0000, 5.0790, 0.0000], [0.0000, 0.0000, 5.1908]],
  "species": ["Ac", "Nd", "Nd", "Cd"],
  "fractional_positions": [[0.0000, 0.0000, 0.0000], [0.0000, 0.5000, 0.5000], [0.5000, 0.0000, 0.5000], [0.5000, 0.5000, 0.0000]],
  "ef_ev_per_fu": -0.28,
  "spacegroup": "P4/mmm, No. 123",
  "total_energy_ev_per_atom": -3.71,
  "e_above_lowest_polymorph_mev_per_atom": 78
}



{
  "formula": "AcNdCd2",
  "functional": "PBE",
  "state": "optimized geometry",
  "cell": [[3.9561, 0.0000, 0.0000], [0.0000, 3.9561, 0.0000], [0.0000, 0.0000, 7.9853]],
  "species": ["Ac", "Nd", "Cd", "Cd"],
  "fractional_positions": [[0.0000, 0.0000, 0.0000], [0.0000, 0.0000, 0.5000], [0.5000, 0.5000, 0.2740], [0.5000, 0.5000, 0.7260]],
  "ef_ev_per_fu": -1.19,
  "spacegroup": "P4/mmm, No. 123",
  "total_energy_ev_per_atom": -2.97
}



{
  "formula": "Ac5NdCd6",
  "functional": "PBE",
  "state": "optimized geometry",
  "cell": [[4.9476, -8.5520, 0.0000], [4.9476, 8.5520, 0.0000], [-3.2884, 0.0000, 4.6668]],
  "species": ["Ac", "Ac", "Ac", "Ac", "Ac", "Nd", "Cd", "Cd", "Cd", "Cd", "Cd", "Cd"],
  "fractional_positions": [[0.0000, 0.0000, 0.0000], [0.1647, 0.8353, 0.5000], [0.3293, 0.6707, 0.0000], [0.6707, 0.3293, 0.0000], [0.8353, 0.1647, 0.5000], [0.5000, 0.5000, 0.5000], [0.0980, 0.4210, 0.2597], [0.2679, 0.2679, 0.7679], [0.4210, 0.0980, 0.2597], [0.5790, 0.9020, 0.7403], [0.7321, 0.7321, 0.2321], [0.9020, 0.5790, 0.7403]],
  "ef_ev_per_fu": -3.53,
  "spacegroup": "C2/m, No. 12",
  "total_energy_ev_per_atom": -2.86
}



{
  "formula": "AcNdCd17",
  "functional": "PBE",
  "state": "optimized geometry",
  "cell": [[5.0900, 2.9387, 5.0175], [-5.0900, 2.9387, 5.0175], [0.0000, -5.8774, 5.0175]],
  "species": ["Ac", "Nd", "Cd", "Cd", "Cd", "Cd", "Cd", "Cd", "Cd", "Cd", "Cd", "Cd", "Cd", "Cd", "Cd", "Cd", "Cd", "Cd", "Cd"],
  "fractional_positions": [[0.0000, 0.0000, 0.0000], [0.6642, 0.6642, 0.6642], [0.0351, 0.3371, 0.6307], [0.0351, 0.6307, 0.3371], [0.1951, 0.6850, 0.6850], [0.2393, 0.2393, 0.2393], [0.3228, 0.3228, 0.8476], [0.3228, 0.8476, 0.3228], [0.3371, 0.0351, 0.6307], [0.3371, 0.6307, 0.0351], [0.4386, 0.4386, 0.4386], [0.5181, 0.9668, 0.9668], [0.6307, 0.0351, 0.3371], [0.6307, 0.3371, 0.0351], [0.6850, 0.1951, 0.6850], [0.6850, 0.6850, 0.1951], [0.8476, 0.3228, 0.3228], [0.9668, 0.5181, 0.9668], [0.9668, 0.9668, 0.5181]],
  "ef_ev_per_fu": -3.30,
  "spacegroup": "R3m, No. 160",
  "total_energy_ev_per_atom": -1.46
}



{
  "formula": "Ac2Nd2Cd",
  "functional": "PBE",
  "state": "optimized geometry",
  "cell": [[3.9234, 0.0000, 0.0000], [0.0000, 3.9234, 0.0000], [0.0000, 0.0000, 23.9920]],
  "species": ["Ac", "Ac", "Ac", "Ac", "Nd", "Nd", "Nd", "Nd", "Cd", "Cd"],
  "fractional_positions": [[0.0000, 0.0000, 0.0893], [0.0000, 0.0000, 0.9107], [0.5000, 0.5000, 0.4107], [0.5000, 0.5000, 0.5893], [0.0000, 0.0000, 0.2996], [0.0000, 0.0000, 0.7004], [0.5000, 0.5000, 0.2004], [0.5000, 0.5000, 0.7996], [0.0000, 0.0000, 0.5000], [0.5000, 0.5000, 0.0000]],
  "ef_ev_per_fu": -0.49,
  "spacegroup": "I4/mmm, No. 139",
  "total_energy_ev_per_atom": -3.83,
  "e_above_lowest_polymorph_mev_per_atom": 0
}



{
  "formula": "Ac6Nd3Cd",
  "functional": "PBE",
  "state": "optimized geometry",
  "cell": [[10.3659, 0.0000, 0.0000], [0.0000, 6.1388, 0.0000], [-4.8832, 0.0000, 12.5996]],
  "species": ["Ac", "Ac", "Ac", "Ac", "Ac", "Ac", "Ac", "Ac", "Ac", "Ac", "Ac", "Ac", "Nd", "Nd", "Nd", "Nd", "Nd", "Nd", "Cd", "Cd"],
  "fractional_positions": [[0.0359, 0.2500, 0.4282], [0.1735, 0.7500, 0.1596], [0.2588, 0.2500, 0.0016], [0.3478, 0.2500, 0.3280], [0.3518, 0.7500, 0.8069], [0.4221, 0.2500, 0.6361], [0.5779, 0.7500, 0.3639], [0.6482, 0.2500, 0.1931], [0.6522, 0.7500, 0.6720], [0.7412, 0.7500, 0.9984], [0.8265, 0.2500, 0.8404], [0.9641, 0.7500, 0.5718], [0.0282, 0.7500, 0.8601], [0.0997, 0.2500, 0.7181], [0.2670, 0.7500, 0.4719], [0.7330, 0.2500, 0.5281], [0.9003, 0.7500, 0.2819], [0.9718, 0.2500, 0.1399], [0.4622, 0.7500, 0.0858], [0.5378, 0.2500, 0.9142]],
  "ef_ev_per_fu": -0.18,
  "spacegroup": "P2_1/m, No. 11",
  "total_energy_ev_per_atom": -4.00
}



{
  "formula": "AcNd2Cd8",
  "functional": "PBE",
  "state": "optimized geometry",
  "cell": [[4.2595, -8.1808, 0.0000], [4.2595, 8.1808, 0.0000], [-3.4355, 0.0000, 4.1947]],
  "species": ["Ac", "Nd", "Nd", "Cd", "Cd", "Cd", "Cd", "Cd", "Cd", "Cd", "Cd"],
  "fractional_positions": [[0.0000, 0.0000, 0.0000], [0.3079, 0.6921, 0.5000], [0.6921, 0.3079, 0.5000], [0.1019, 0.3620, 0.7332], [0.2043, 0.7957, 0.0000], [0.3620, 0.1019, 0.7332], [0.4980, 0.4980, 0.7485], [0.5020, 0.5020, 0.2515], [0.6380, 0.8981, 0.2668], [0.7957, 0.2043, 0.0000], [0.8981, 0.6380, 0.2668]],
  "ef_ev_per_fu": -3.33,
  "spacegroup": "C2/m, No. 12",
  "total_energy_ev_per_atom": -2.21
}



{
  "formula": "AcNd2Cd",
  "functional": "PBE",
  "state": "optimized geometry",
  "cell": [[8.1111, 0.0000, 0.0000], [0.0000, 8.1111, 0.0000], [0.0000, 0.0000, 8.1111]],
  "species": ["Ac", "Ac", "Ac", "Ac", "Nd", "Nd", "Nd", "Nd", "Nd", "Nd", "Nd", "Nd", "Cd", "Cd", "Cd", "Cd"],
  "fractional_positions": [[0.0000, 0.0000, 0.0000], [0.0000, 0.5000, 0.5000], [0.5000, 0.0000, 0.5000], [0.5000, 0.5000, 0.0000], [0.2500, 0.2500, 0.2500], [0.2500, 0.2500, 0.7500], [0.2500, 0.7500, 0.2500], [0.2500, 0.7500, 0.7500], [0.7500, 0.2500, 0.2500], [0.7500, 0.2500, 0.7500], [0.7500, 0.7500, 0.2500], [0.7500, 0.7500, 0.7500], [0.0000, 0.0000, 0.5000], [0.0000, 0.5000, 0.0000], [0.5000, 0.0000, 0.0000], [0.5000, 0.5000, 0.5000]],
  "ef_ev_per_fu": 0.08,
  "spacegroup": "Fm-3m, No. 225",
  "total_energy_ev_per_atom": -3.62,
  "e_above_lowest_polymorph_mev_per_atom": 168
}